Record 1
This record from Alexandria via LeMat-Bulk describes an optimized crystal structure of Mg2HgSe2. The functional is GGA-PBEsol.

excess energy over the best structure of this formula in the dataset	0.0	meV/atom
VASP energy	-3.151	eV/atom
total magnetic moment	0.000	μB/atom
N(E_F)	0.0	states/eV per cell
formation energy without anion corrections	-811	meV per atom

Unit cell a=4.5660 b=4.5660 c=12.4637 alpha=90.00 beta=90.00 gamma=90.00
With the nearest neighbours (Å) after each atom.
Space group I4/mmm (No. 139)
Symmetry-distinct sites (fractional):
Mg 0.0000 0.5000 0.2500 x4  4 Se 2.61
Hg 0.0000 0.0000 0.0000 x2  8 Se 3.72, 8 Mg 3.86
Se 0.0000 0.0000 0.3510 x4  4 Mg 2.61



Record 2
This record from Alexandria via LeMat-Bulk describes an optimized crystal structure of MgHg2Se. The functional is GGA-PBEsol.

VASP energy	-2.067	eV/atom
total magnetic moment	0.000	μB/atom
N(E_F)	0.4	states/eV per cell
formation energy without anion corrections	-392	meV per atom

Unit cell a=3.6543 b=3.6543 c=8.1674 alpha=90.00 beta=90.00 gamma=90.00
With the nearest neighbours (Å) after each atom.
Space group P4mm (No. 99)
Symmetry-distinct sites (fractional):
Mg 0.0000 0.0000 0.0000 x1  4 Se 2.62, 1 Hg 2.83
Hg 0.0000 0.0000 0.3469 x1  1 Mg 2.83, 4 Hg 3.15
Hg 0.5000 0.5000 0.5678 x1  1 Se 3.07, 4 Hg 3.15
Se 0.5000 0.5000 0.9436 x1  4 Mg 2.62



Record 3
This record from Alexandria via LeMat-Bulk describes an optimized crystal structure of MgHg2Se. The functional is GGA-PBEsol.

VASP energy	-2.073	eV/atom
total magnetic moment	0.000	μB/atom
N(E_F)	2.4	states/eV per cell
formation energy without anion corrections	-397	meV per atom

Unit cell a=4.0189 b=4.0189 c=21.4579 alpha=90.00 beta=90.00 gamma=120.00
With the nearest neighbours (Å) after each atom.
Space group R3m (No. 160, hexagonal axes)
Symmetry-distinct sites (fractional):
Mg 0.0000 0.0000 0.0000 x3  3 Se 2.57
Hg 0.0000 0.0000 0.2390 x3  3 Hg 3.01, 3 Mg 3.08
Hg 0.0000 0.0000 0.4830 x3  3 Hg 3.01, 3 Se 3.14
Se 0.0000 0.0000 0.7178 x3  3 Mg 2.57



Record 4
This record from Alexandria via LeMat-Bulk describes an optimized crystal structure of Mg2HgSe2. The functional is GGA-PBEsol.

excess energy over the best structure of this formula in the dataset	164.6	meV/atom
VASP energy	-2.987	eV/atom
total magnetic moment	0.000	μB/atom
formation energy without anion corrections	-647	meV per atom

Unit cell a=5.2075 b=5.2075 c=11.9086 alpha=90.00 beta=90.00 gamma=90.00
With the nearest neighbours (Å) after each atom.
Space group I4/mmm (No. 139)
Symmetry-distinct sites (fractional):
Mg 0.0000 0.0000 0.2467 x4  4 Se 2.60
Hg 0.0000 0.0000 0.0000 x2  2 Mg 2.94
Se 0.0000 0.5000 0.2500 x4  4 Mg 2.60



Record 5
This record from Alexandria via LeMat-Bulk describes an optimized crystal structure of MgHgSe2. The functional is GGA-PBEsol.

excess energy over the best structure of this formula in the dataset	44.7	meV/atom
VASP energy	-3.143	eV/atom
total magnetic moment	0.000	μB/atom
N(E_F)	1.2	states/eV per cell
formation energy without anion corrections	-646	meV per atom

Unit cell a=3.9438 b=3.9438 c=5.6255 alpha=90.00 beta=90.00 gamma=90.00
With the nearest neighbours (Å) after each atom.
Space group P4/mmm (No. 123)
Symmetry-distinct sites (fractional):
Mg 0.0000 0.0000 0.0000 x1  6 Se 2.79-2.81
Hg 0.5000 0.5000 0.5000 x1  6 Se 2.79-2.81
Se 0.0000 0.0000 0.5000 x1  4 Hg 2.79, 2 Mg 2.81
Se 0.5000 0.5000 0.0000 x1  4 Mg 2.79, 2 Hg 2.81



Record 6
This record from Alexandria via LeMat-Bulk describes an optimized crystal structure of MgHgSe2. The functional is GGA-PBEsol.

excess energy over the best structure of this formula in the dataset	0.0	meV/atom
VASP energy	-3.187	eV/atom
total magnetic moment	0.000	μB/atom
formation energy without anion corrections	-691	meV per atom

Unit cell a=6.0171 b=6.0171 c=12.1623 alpha=90.00 beta=90.00 gamma=90.00
With the nearest neighbours (Å) after each atom.
Space group I-42d (No. 122)
Symmetry-distinct sites (fractional):
Mg 0.0000 0.0000 0.0000 x4  4 Se 2.57
Hg 0.0000 0.0000 0.5000 x4  4 Se 2.66
Se 0.2374 0.2500 0.1250 x8  2 Mg 2.57, 2 Hg 2.66